# 1
# meta-GGA SCAN Ta2Se, PBEsol geometry
# DOS at the Fermi energy	2.26	states/eV per cell
# size of the total moment	0.00	μB/cell
# electronic total energy	-50.50	eV/atom
data_Ta2Se
_chemical_formula_sum 'Ta2 Se1'
_cell_length_a 4.2429
_cell_length_b 4.2429
_cell_length_c 3.1114
_cell_angle_alpha 90.00
_cell_angle_beta 90.00
_cell_angle_gamma 90.00
_space_group_name_H-M_alt 'P 4/m m m'
_space_group_IT_number 123
_space_group_name_Hall '-P 4 2'
loop_
_atom_site_label
_atom_site_type_symbol
_atom_site_fract_x
_atom_site_fract_y
_atom_site_fract_z
_atom_site_occupancy
Ta1 Ta 0.0000 0.5000 0.0000 1
Se1 Se 0.0000 0.0000 0.5000 1

=====

# 2
# meta-GGA SCAN TaTcSe2, PBEsol geometry
# DOS at the Fermi energy	6.63	states/eV per cell
# size of the total moment	0.00	μB/cell
# energy above the lowest structure with this stoichiometry	838	meV per atom
# electronic total energy	-35.06	eV/atom
data_TaTcSe2
_chemical_formula_sum 'Ta2 Tc2 Se4'
_cell_length_a 5.3886
_cell_length_b 8.5664
_cell_length_c 3.4714
_cell_angle_alpha 90.00
_cell_angle_beta 122.47
_cell_angle_gamma 90.00
_space_group_name_H-M_alt 'C 1 2/m 1'
_space_group_IT_number 12
_space_group_name_Hall '-C 2y'
loop_
_atom_site_label
_atom_site_type_symbol
_atom_site_fract_x
_atom_site_fract_y
_atom_site_fract_z
_atom_site_occupancy
Ta1 Ta 0.0000 0.0000 0.0000 1
Tc1 Tc 0.0000 0.5000 0.0000 1
Se1 Se 0.2500 0.2500 0.5000 1

=====

# 3
# meta-GGA SCAN TaTcSe2, PBEsol geometry
# DOS at the Fermi energy	0.74	states/eV per cell
# size of the total moment	0.00	μB/cell
# energy above the lowest structure with this stoichiometry	255	meV per atom
# electronic total energy	-35.64	eV/atom
data_TaTcSe2
_chemical_formula_sum 'Ta2 Tc2 Se4'
_cell_length_a 8.8679
_cell_length_b 3.2639
_cell_length_c 5.7928
_cell_angle_alpha 90.00
_cell_angle_beta 99.28
_cell_angle_gamma 90.00
_space_group_name_H-M_alt 'C 1 m 1'
_space_group_IT_number 8
_space_group_name_Hall 'C -2y'
loop_
_atom_site_label
_atom_site_type_symbol
_atom_site_fract_x
_atom_site_fract_y
_atom_site_fract_z
_atom_site_occupancy
Ta1 Ta 0.0000 0.0000 0.0000 1
Tc1 Tc 0.2791 0.0000 0.8807 1
Se1 Se 0.0158 0.5000 0.6565 1
Se2 Se 0.2457 0.5000 0.1984 1

=====

# 4
# meta-GGA SCAN TaTcSe2, PBEsol geometry
# DOS at the Fermi energy	12.88	states/eV per cell
# size of the total moment	0.00	μB/cell
# energy above the lowest structure with this stoichiometry	525	meV per atom
# electronic total energy	-35.37	eV/atom
data_TaTcSe2
_chemical_formula_sum 'Ta4 Tc4 Se8'
_cell_length_a 6.2680
_cell_length_b 6.2680
_cell_length_c 6.2680
_cell_angle_alpha 90.00
_cell_angle_beta 90.00
_cell_angle_gamma 90.00
_space_group_name_H-M_alt 'F m -3 m'
_space_group_IT_number 225
_space_group_name_Hall '-F 4 2 3'
loop_
_atom_site_label
_atom_site_type_symbol
_atom_site_fract_x
_atom_site_fract_y
_atom_site_fract_z
_atom_site_occupancy
Ta1 Ta 0.0000 0.0000 0.0000 1
Tc1 Tc 0.0000 0.0000 0.5000 1
Se1 Se 0.2500 0.2500 0.2500 1

=====

# 5
# meta-GGA SCAN TaTcSe3, PBEsol geometry
# DOS at the Fermi energy	4.52	states/eV per cell
# size of the total moment	3.61	μB/cell
# electronic total energy	-31.41	eV/atom
data_TaTcSe3
_chemical_formula_sum 'Ta1 Tc1 Se3'
_cell_length_a 4.7362
_cell_length_b 4.7362
_cell_length_c 4.7362
_cell_angle_alpha 90.00
_cell_angle_beta 90.00
_cell_angle_gamma 90.00
_space_group_name_H-M_alt 'P m -3 m'
_space_group_IT_number 221
_space_group_name_Hall '-P 4 2 3'
loop_
_atom_site_label
_atom_site_type_symbol
_atom_site_fract_x
_atom_site_fract_y
_atom_site_fract_z
_atom_site_occupancy
Ta1 Ta 0.0000 0.0000 0.0000 1
Tc1 Tc 0.5000 0.5000 0.5000 1
Se1 Se 0.0000 0.5000 0.5000 1

=====

# 6
# meta-GGA SCAN TaTcSe2, PBEsol geometry
# DOS at the Fermi energy	8.44	states/eV per cell
# size of the total moment	0.02	μB/cell
# energy above the lowest structure with this stoichiometry	536	meV per atom
# electronic total energy	-35.36	eV/atom
data_TaTcSe2
_chemical_formula_sum 'Ta3 Tc3 Se6'
_cell_length_a 3.1045
_cell_length_b 3.1045
_cell_length_c 25.4113
_cell_angle_alpha 90.00
_cell_angle_beta 90.00
_cell_angle_gamma 120.00
_space_group_name_H-M_alt 'R -3 m'
_space_group_IT_number 166
_space_group_name_Hall '-R 3 2"'
loop_
_atom_site_label
_atom_site_type_symbol
_atom_site_fract_x
_atom_site_fract_y
_atom_site_fract_z
_atom_site_occupancy
Ta1 Ta 0.0000 0.0000 0.0000 1
Tc1 Tc 0.0000 0.0000 0.5000 1
Se1 Se 0.0000 0.0000 0.4066 1

=====

Question: Number 1 is which compound?
Answer: Ta2Se

=====

Question: Which of these has the highest DOS at the Fermi energy?
Answer: number 4